No. 1
Crystalline Na2TlHgBr6 at its relaxed geometry. Source: Alexandria via LeMat-Bulk, functional GGA-PBE.

M_tot (μB/f.u.): 0.00
Calculated density (Mg/m³): 4.75
Energy (eV/cell): -72.6
Volume (Å³/atom): 32.5

```
data_Na2TlHgBr6
_symmetry_space_group_name_H-M 'R 3'
_symmetry_Int_Tables_number 146
_symmetry_space_group_name_Hall 'R 3'
_cell_length_a 7.4620
_cell_length_b 7.4620
_cell_length_c 20.2373
_cell_angle_alpha 90.00
_cell_angle_beta 90.00
_cell_angle_gamma 120.00
loop_
_atom_site_label
_atom_site_type_symbol
_atom_site_fract_x
_atom_site_fract_y
_atom_site_fract_z
Na1 Na 0.0000 0.0000 0.0000
Na2 Na 0.0000 0.0000 0.4976
Tl1 Tl 0.0000 0.0000 0.3007
Hg1 Hg 0.0000 0.0000 0.8016
Br1 Br 0.0087 0.6425 0.0664
Br2 Br 0.0134 0.3052 0.8951
```

***

No. 2
Crystalline BaCeSb2 at its relaxed geometry. Source: Alexandria via LeMat-Bulk, functional GGA-PBE.

M_tot (μB/f.u.): 0.13
Calculated density (Mg/m³): 5.77
Energy (eV/cell): -60.4
Volume (Å³/atom): 37.5
Relative energy among the computed polymorphs (meV per atom): 0

```
data_BaCeSb2
_symmetry_space_group_name_H-M 'R -3 m'
_symmetry_Int_Tables_number 166
_symmetry_space_group_name_Hall '-R 3 2"'
_cell_length_a 4.6927
_cell_length_b 4.6927
_cell_length_c 23.5911
_cell_angle_alpha 90.00
_cell_angle_beta 90.00
_cell_angle_gamma 120.00
loop_
_atom_site_label
_atom_site_type_symbol
_atom_site_fract_x
_atom_site_fract_y
_atom_site_fract_z
Ba1 Ba 0.0000 0.0000 0.0000
Ce1 Ce 0.0000 0.0000 0.5000
Sb1 Sb 0.0000 0.0000 0.2362
```

***

No. 3
Crystalline PuPaSiNi at its relaxed geometry. Source: Alexandria via LeMat-Bulk, functional GGA-PBE.

M_tot (μB/f.u.): 7.04
Calculated density (Mg/m³): 11.08
Energy (eV/cell): -35.6
Volume (Å³/atom): 21.1

```
data_PuPaSiNi
_symmetry_space_group_name_H-M 'P -6 m 2'
_symmetry_Int_Tables_number 187
_symmetry_space_group_name_Hall 'P -6 2'
_cell_length_a 4.7669
_cell_length_b 4.7669
_cell_length_c 4.2804
_cell_angle_alpha 90.00
_cell_angle_beta 90.00
_cell_angle_gamma 120.00
loop_
_atom_site_label
_atom_site_type_symbol
_atom_site_fract_x
_atom_site_fract_y
_atom_site_fract_z
Pu1 Pu 0.0000 0.0000 0.0000
Pa1 Pa 0.3333 0.6667 0.5000
Si1 Si 0.6667 0.3333 0.0000
Ni1 Ni 0.6667 0.3333 0.5000
```

***

No. 4
Crystalline Cs2TmTe6Au2 at its relaxed geometry. Source: Alexandria via LeMat-Bulk, functional GGA-PBE.

M_tot (μB/f.u.): 0.00
Calculated density (Mg/m³): 5.71
Energy (eV/cell): -75.0
Volume (Å³/atom): 42.1

```
data_Cs2TmTe6Au2
_symmetry_space_group_name_H-M 'C 1 2/m 1'
_symmetry_Int_Tables_number 12
_cell_length_a 13.780
_cell_length_b 8.115
_cell_length_c 9.466
_cell_angle_alpha 90.00
_cell_angle_beta 118.92
_cell_angle_gamma 90.00
loop_
_symmetry_equiv_pos_as_xyz
'x,y,z'
'-x,-y,-z'
'-x,y,-z'
'x,-y,z'
'x+1/2,y+1/2,z'
'-x+1/2,-y+1/2,-z'
'-x+1/2,y+1/2,-z'
'x+1/2,-y+1/2,z'
loop_
_atom_site_label
_atom_site_type_symbol
_atom_site_fract_x
_atom_site_fract_y
_atom_site_fract_z
Cs1 Cs 0.236 0.000 0.212
Tm1 Tm 0.000 0.000 0.500
Te1 Te 0.020 0.218 0.771
Te2 Te 0.236 0.000 0.772
Au1 Au 0.085 0.500 0.262
```

***

No. 5
Crystalline Pb2SN at its relaxed geometry. Source: Alexandria via LeMat-Bulk, functional GGA-PBE.

M_tot (μB/f.u.): 0.00
Calculated density (Mg/m³): 7.80
Energy (eV/cell): -74.7
Volume (Å³/atom): 24.5
Relative energy among the computed polymorphs (meV per atom): 0

```
data_Pb2SN
_symmetry_space_group_name_H-M 'I -4 2 d'
_symmetry_Int_Tables_number 122
_symmetry_space_group_name_Hall 'I -4 2bw'
_cell_length_a 6.722
_cell_length_b 6.722
_cell_length_c 8.678
_cell_angle_alpha 90.00
_cell_angle_beta 90.00
_cell_angle_gamma 90.00
loop_
_atom_site_label
_atom_site_type_symbol
_atom_site_fract_x
_atom_site_fract_y
_atom_site_fract_z
Pb1 Pb 0.193 0.250 0.125
S1 S 0.000 0.000 0.500
N1 N 0.000 0.000 0.000
```

***

No. 6
Crystalline SrCr2Os at its relaxed geometry. Source: Alexandria via LeMat-Bulk, functional GGA-PBE.

M_tot (μB/f.u.): 1.77
Calculated density (Mg/m³): 9.76
Energy (eV/cell): -111.5
Volume (Å³/atom): 16.2
Relative energy among the computed polymorphs (meV per atom): 481

```
data_SrCr2Os
_symmetry_space_group_name_H-M 'F m -3 m'
_symmetry_Int_Tables_number 225
_symmetry_space_group_name_Hall '-F 4 2 3'
_cell_length_a 6.381
_cell_length_b 6.381
_cell_length_c 6.381
_cell_angle_alpha 90.00
_cell_angle_beta 90.00
_cell_angle_gamma 90.00
loop_
_atom_site_label
_atom_site_type_symbol
_atom_site_fract_x
_atom_site_fract_y
_atom_site_fract_z
Sr1 Sr 0.000 0.000 0.000
Cr1 Cr 0.250 0.250 0.250
Os1 Os 0.000 0.000 0.500
```

***

No. 7
Crystalline BaVAgS4 at its relaxed geometry. Source: Alexandria via LeMat-Bulk, functional GGA-PBE.

M_tot (μB/f.u.): 0.00
Calculated density (Mg/m³): 3.94
Energy (eV/cell): -74.7
Volume (Å³/atom): 25.5

```
data_BaVAgS4
_symmetry_space_group_name_H-M 'P 1 21/m 1'
_symmetry_Int_Tables_number 11
_cell_length_a 5.925
_cell_length_b 7.252
_cell_length_c 8.656
_cell_angle_alpha 90.00
_cell_angle_beta 105.95
_cell_angle_gamma 90.00
loop_
_symmetry_equiv_pos_as_xyz
'x,y,z'
'-x,-y,-z'
'-x,y+1/2,-z'
'x,-y+1/2,z'
loop_
_atom_site_label
_atom_site_type_symbol
_atom_site_fract_x
_atom_site_fract_y
_atom_site_fract_z
Ba1 Ba 0.238 0.250 0.405
V1 V 0.314 0.750 0.204
Ag1 Ag 0.197 0.250 0.851
S1 S 0.067 0.750 0.971
S2 S 0.164 0.750 0.411
S3 S 0.465 0.008 0.767
```

***

No. 8
Crystalline BeInSb2 at its relaxed geometry. Source: Alexandria via LeMat-Bulk, functional GGA-PBE.

M_tot (μB/f.u.): 0.00
Calculated density (Mg/m³): 6.36
Energy (eV/cell): -49.5
Volume (Å³/atom): 24.0
Relative energy among the computed polymorphs (meV per atom): 490

```
data_BeInSb2
_symmetry_space_group_name_H-M 'F -4 3 m'
_symmetry_Int_Tables_number 216
_symmetry_space_group_name_Hall 'F -4 2 3'
_cell_length_a 7.267
_cell_length_b 7.267
_cell_length_c 7.267
_cell_angle_alpha 90.00
_cell_angle_beta 90.00
_cell_angle_gamma 90.00
loop_
_atom_site_label
_atom_site_type_symbol
_atom_site_fract_x
_atom_site_fract_y
_atom_site_fract_z
Be1 Be 0.000 0.000 0.000
In1 In 0.250 0.250 0.250
Sb1 Sb 0.000 0.000 0.500
Sb2 Sb 0.250 0.250 0.750
```

***

No. 9
Crystalline SmMg2ScCd4 at its relaxed geometry. Source: Alexandria via LeMat-Bulk, functional GGA-PBE.

M_tot (μB/f.u.): 0.00
Calculated density (Mg/m³): 6.33
Energy (eV/cell): -60.6
Volume (Å³/atom): 22.7

```
data_SmMg2ScCd4
_symmetry_space_group_name_H-M 'R -3 m'
_symmetry_Int_Tables_number 166
_symmetry_space_group_name_Hall '-R 3 2"'
_cell_length_a 5.0324
_cell_length_b 5.0324
_cell_length_c 24.8926
_cell_angle_alpha 90.00
_cell_angle_beta 90.00
_cell_angle_gamma 120.00
loop_
_atom_site_label
_atom_site_type_symbol
_atom_site_fract_x
_atom_site_fract_y
_atom_site_fract_z
Sm1 Sm 0.0000 0.0000 0.0000
Mg1 Mg 0.0000 0.0000 0.2494
Sc1 Sc 0.0000 0.0000 0.5000
Cd1 Cd 0.0000 0.0000 0.1288
Cd2 Cd 0.0000 0.0000 0.3802
```

***

No. 10
Crystalline NdSmCdSn at its relaxed geometry. Source: Alexandria via LeMat-Bulk, functional GGA-PBE.

M_tot (μB/f.u.): 0.00
Calculated density (Mg/m³): 7.78
Energy (eV/cell): -66.1
Volume (Å³/atom): 28.1

```
data_NdSmCdSn
_symmetry_space_group_name_H-M 'F -4 3 m'
_symmetry_Int_Tables_number 216
_symmetry_space_group_name_Hall 'F -4 2 3'
_cell_length_a 7.657
_cell_length_b 7.657
_cell_length_c 7.657
_cell_angle_alpha 90.00
_cell_angle_beta 90.00
_cell_angle_gamma 90.00
loop_
_atom_site_label
_atom_site_type_symbol
_atom_site_fract_x
_atom_site_fract_y
_atom_site_fract_z
Nd1 Nd 0.000 0.000 0.000
Sm1 Sm 0.000 0.000 0.500
Cd1 Cd 0.250 0.250 0.250
Sn1 Sn 0.250 0.250 0.750
```

***

No. 11
Crystalline TaIn4Cu at its relaxed geometry. Source: Alexandria via LeMat-Bulk, functional GGA-PBE.

M_tot (μB/f.u.): 1.86
Calculated density (Mg/m³): 8.69
Energy (eV/cell): -88.8
Volume (Å³/atom): 22.4

```
data_TaIn4Cu
_symmetry_space_group_name_H-M 'F -4 3 m'
_symmetry_Int_Tables_number 216
_symmetry_space_group_name_Hall 'F -4 2 3'
_cell_length_a 8.132
_cell_length_b 8.132
_cell_length_c 8.132
_cell_angle_alpha 90.00
_cell_angle_beta 90.00
_cell_angle_gamma 90.00
loop_
_atom_site_label
_atom_site_type_symbol
_atom_site_fract_x
_atom_site_fract_y
_atom_site_fract_z
Ta1 Ta 0.000 0.000 0.000
In1 In 0.125 0.125 0.375
Cu1 Cu 0.250 0.250 0.750
```

***

No. 12
Crystalline MnMoAsRh2 at its relaxed geometry. Source: Alexandria via LeMat-Bulk, functional GGA-PBE.

M_tot (μB/f.u.): 3.35
Calculated density (Mg/m³): 8.25
Energy (eV/cell): -34.5
Volume (Å³/atom): 17.4

```
data_MnMoAsRh2
_symmetry_space_group_name_H-M 'P 4/m m m'
_symmetry_Int_Tables_number 123
_symmetry_space_group_name_Hall '-P 4 2'
_cell_length_a 4.482
_cell_length_b 4.482
_cell_length_c 4.326
_cell_angle_alpha 90.00
_cell_angle_beta 90.00
_cell_angle_gamma 90.00
loop_
_atom_site_label
_atom_site_type_symbol
_atom_site_fract_x
_atom_site_fract_y
_atom_site_fract_z
Mn1 Mn 0.000 0.000 0.000
Mo1 Mo 0.500 0.500 0.000
As1 As 0.000 0.000 0.500
Rh1 Rh 0.000 0.500 0.500
```

***

No. 13
Crystalline BeCuOs2 at its relaxed geometry. Source: Alexandria via LeMat-Bulk, functional GGA-PBE.

M_tot (μB/f.u.): 0.00
Calculated density (Mg/m³): 14.83
Energy (eV/cell): -88.6
Volume (Å³/atom): 12.7

```
data_BeCuOs2
_symmetry_space_group_name_H-M 'R -3 m'
_symmetry_Int_Tables_number 166
_symmetry_space_group_name_Hall '-R 3 2"'
_cell_length_a 2.6683
_cell_length_b 2.6683
_cell_length_c 24.6805
_cell_angle_alpha 90.00
_cell_angle_beta 90.00
_cell_angle_gamma 120.00
loop_
_atom_site_label
_atom_site_type_symbol
_atom_site_fract_x
_atom_site_fract_y
_atom_site_fract_z
Be1 Be 0.0000 0.0000 0.0000
Cu1 Cu 0.0000 0.0000 0.5000
Os1 Os 0.0000 0.0000 0.2557
```

***

No. 14
Crystalline MgAsS3 at its relaxed geometry. Source: Alexandria via LeMat-Bulk, functional GGA-PBE.

M_tot (μB/f.u.): 0.00
Calculated density (Mg/m³): 2.88
Energy (eV/cell): -84.7
Volume (Å³/atom): 22.5

```
data_MgAsS3
_symmetry_space_group_name_H-M 'A m a 2'
_symmetry_Int_Tables_number 40
_cell_length_a 11.691
_cell_length_b 6.208
_cell_length_c 6.201
_cell_angle_alpha 90.00
_cell_angle_beta 90.00
_cell_angle_gamma 90.00
loop_
_symmetry_equiv_pos_as_xyz
'x,y,z'
'-x,-y,z'
'-x+1/2,y,z'
'x+1/2,-y,z'
'x,y+1/2,z+1/2'
'-x,-y+1/2,z+1/2'
'-x+1/2,y+1/2,z+1/2'
'x+1/2,-y+1/2,z+1/2'
loop_
_atom_site_label
_atom_site_type_symbol
_atom_site_fract_x
_atom_site_fract_y
_atom_site_fract_z
Mg1 Mg 0.000 0.000 0.000
As1 As 0.250 0.152 0.336
S1 S 0.095 0.304 0.190
S2 S 0.250 0.301 0.690
```

***

No. 15
Crystalline NaSiSbO5 at its relaxed geometry. Source: Alexandria via LeMat-Bulk, functional GGA-PBE.

M_tot (μB/f.u.): 0.00
Calculated density (Mg/m³): 4.31
Energy (eV/cell): -208.5
Volume (Å³/atom): 12.2

```
data_NaSiSbO5
_symmetry_space_group_name_H-M 'C 1 2/c 1'
_symmetry_Int_Tables_number 15
_cell_length_a 6.803
_cell_length_b 8.760
_cell_length_c 7.262
_cell_angle_alpha 90.00
_cell_angle_beta 115.68
_cell_angle_gamma 90.00
loop_
_symmetry_equiv_pos_as_xyz
'x,y,z'
'-x,-y,-z'
'-x,y,-z+1/2'
'x,-y,z+1/2'
'x+1/2,y+1/2,z'
'-x+1/2,-y+1/2,-z'
'-x+1/2,y+1/2,-z+1/2'
'x+1/2,-y+1/2,z+1/2'
loop_
_atom_site_label
_atom_site_type_symbol
_atom_site_fract_x
_atom_site_fract_y
_atom_site_fract_z
Na1 Na 0.000 0.163 0.250
Si1 Si 0.000 0.184 0.750
Sb1 Sb 0.000 0.500 0.000
O1 O 0.000 0.416 0.250
O2 O 0.101 0.292 0.624
O3 O 0.188 0.067 0.907
```

***

No. 16
Crystalline PmNd3Rh2 at its relaxed geometry. Source: Alexandria via LeMat-Bulk, functional GGA-PBE.

M_tot (μB/f.u.): 0.00
Calculated density (Mg/m³): 8.09
Energy (eV/cell): -73.9
Volume (Å³/atom): 26.8
Relative energy among the computed polymorphs (meV per atom): 0

```
data_PmNd3Rh2
_symmetry_space_group_name_H-M 'P m c 21'
_symmetry_Int_Tables_number 26
_cell_length_a 4.921
_cell_length_b 8.950
_cell_length_c 7.306
_cell_angle_alpha 90.00
_cell_angle_beta 90.00
_cell_angle_gamma 90.00
loop_
_symmetry_equiv_pos_as_xyz
'x,y,z'
'-x,-y,z+1/2'
'-x,y,z'
'x,-y,z+1/2'
loop_
_atom_site_label
_atom_site_type_symbol
_atom_site_fract_x
_atom_site_fract_y
_atom_site_fract_z
Pm1 Pm 0.000 0.086 0.000
Nd1 Nd 0.000 0.340 0.634
Nd2 Nd 0.500 0.159 0.354
Nd3 Nd 0.500 0.413 0.988
Rh1 Rh 0.000 0.328 0.237
Rh2 Rh 0.500 0.170 0.751
```

***

No. 17
Crystalline BAsIrSe2 at its relaxed geometry. Source: Alexandria via LeMat-Bulk, functional GGA-PBE.

M_tot (μB/f.u.): 0.00
Calculated density (Mg/m³): 6.05
Energy (eV/cell): -20.3
Volume (Å³/atom): 23.9
Relative energy among the computed polymorphs (meV per atom): 408

```
data_BAsIrSe2
_symmetry_space_group_name_H-M 'P 4/m m m'
_symmetry_Int_Tables_number 123
_symmetry_space_group_name_Hall '-P 4 2'
_cell_length_a 5.110
_cell_length_b 5.110
_cell_length_c 4.584
_cell_angle_alpha 90.00
_cell_angle_beta 90.00
_cell_angle_gamma 90.00
loop_
_atom_site_label
_atom_site_type_symbol
_atom_site_fract_x
_atom_site_fract_y
_atom_site_fract_z
B1 B 0.000 0.000 0.000
As1 As 0.500 0.500 0.000
Ir1 Ir 0.500 0.500 0.500
Se1 Se 0.000 0.500 0.500
```

***

No. 18
Crystalline NaGdAgPb at its relaxed geometry. Source: Alexandria via LeMat-Bulk, functional GGA-PBE.

M_tot (μB/f.u.): 7.12
Calculated density (Mg/m³): 8.03
Energy (eV/cell): -91.9
Volume (Å³/atom): 25.6

```
data_NaGdAgPb
_symmetry_space_group_name_H-M 'F -4 3 m'
_symmetry_Int_Tables_number 216
_symmetry_space_group_name_Hall 'F -4 2 3'
_cell_length_a 7.428
_cell_length_b 7.428
_cell_length_c 7.428
_cell_angle_alpha 90.00
_cell_angle_beta 90.00
_cell_angle_gamma 90.00
loop_
_atom_site_label
_atom_site_type_symbol
_atom_site_fract_x
_atom_site_fract_y
_atom_site_fract_z
Na1 Na 0.000 0.000 0.000
Gd1 Gd 0.000 0.000 0.500
Ag1 Ag 0.250 0.250 0.750
Pb1 Pb 0.250 0.250 0.250
```

***

No. 19
Crystalline SmY2Ho2Er at its relaxed geometry. Source: Alexandria via LeMat-Bulk, functional GGA-PBE.

M_tot (μB/f.u.): 0.00
Calculated density (Mg/m³): 6.98
Energy (eV/cell): -59.5
Volume (Å³/atom): 32.7

```
data_SmY2Ho2Er
_symmetry_space_group_name_H-M 'P n n m'
_symmetry_Int_Tables_number 58
_cell_length_a 6.559
_cell_length_b 17.697
_cell_length_c 3.384
_cell_angle_alpha 90.00
_cell_angle_beta 90.00
_cell_angle_gamma 90.00
loop_
_symmetry_equiv_pos_as_xyz
'x,y,z'
'-x,-y,-z'
'-x,-y,z'
'x,y,-z'
'x+1/2,-y+1/2,-z+1/2'
'-x+1/2,y+1/2,z+1/2'
'-x+1/2,y+1/2,-z+1/2'
'x+1/2,-y+1/2,z+1/2'
loop_
_atom_site_label
_atom_site_type_symbol
_atom_site_fract_x
_atom_site_fract_y
_atom_site_fract_z
Sm1 Sm 0.000 0.000 0.000
Y1 Y 0.233 0.316 0.000
Ho1 Ho 0.233 0.147 0.500
Er1 Er 0.000 0.500 0.000
```

***

No. 20
Crystalline Hf5In2Fe2Rh at its relaxed geometry. Source: Alexandria via LeMat-Bulk, functional GGA-PBE.

M_tot (μB/f.u.): 0.36
Calculated density (Mg/m³): 11.65
Energy (eV/cell): -165.0
Volume (Å³/atom): 19.1

```
data_Hf5In2Fe2Rh
_symmetry_space_group_name_H-M 'P 4/m b m'
_symmetry_Int_Tables_number 127
_symmetry_space_group_name_Hall '-P 4 2ab'
_cell_length_a 10.882
_cell_length_b 10.882
_cell_length_c 3.217
_cell_angle_alpha 90.00
_cell_angle_beta 90.00
_cell_angle_gamma 90.00
loop_
_atom_site_label
_atom_site_type_symbol
_atom_site_fract_x
_atom_site_fract_y
_atom_site_fract_z
Hf1 Hf 0.000 0.500 0.000
Hf2 Hf 0.068 0.201 0.000
In1 In 0.176 0.676 0.500
Fe1 Fe 0.133 0.367 0.500
Rh1 Rh 0.000 0.000 0.500
```